The following is a GGA-PBE calculation of a geometry-optimized ErTmLu2 structure, from OQMD.

Formation energy from the elements = 0.00 eV/atom

Cell lengths 5.4880, 7.0534, 7.0534 Å; angles 60.00, 90.00, 90.00 degrees
Fractional coordinates of all 8 atoms:
Lu (0.5000, 0.6675, 0.1661)
Lu (0.5000, 0.1663, 0.1663)
Lu (0.0000, 0.8336, 0.8336)
Lu (0.5000, 0.1661, 0.6675)
Tm (0.0000, 0.3326, 0.8339)
Tm (0.0000, 0.8339, 0.3326)
Er (0.5000, 0.6667, 0.6667)
Er (0.0000, 0.3332, 0.3332)


The following is a GGA-PBE calculation of a geometry-optimized Er2Tm3Lu3 structure, from OQMD.

Formation energy from the elements = 0.00 eV/atom

Cell lengths 7.0650, 7.0650, 5.4942 Å; angles 90.00, 90.00, 120.00 degrees
Fractional coordinates of all 8 atoms:
Er (0.3333, 0.6667, 0.0000)
Er (0.0000, 0.0000, 0.5000)
Tm (0.8331, 0.6661, 0.0000)
Tm (0.8331, 0.1669, 0.0000)
Tm (0.3339, 0.1669, 0.0000)
Lu (0.5004, 0.0008, 0.5000)
Lu (0.5004, 0.4996, 0.5000)
Lu (0.9992, 0.4996, 0.5000)


The following is a GGA-PBE calculation of a geometry-optimized ErTmLu6 structure, from OQMD.

Formation energy from the elements = 0.00 eV/atom

Cell lengths 7.0243, 7.0243, 5.4809 Å; angles 90.00, 90.00, 120.00 degrees
Fractional coordinates of all 8 atoms:
Lu (0.6684, 0.8342, 0.0000)
Lu (0.3316, 0.1658, 0.5000)
Lu (0.1658, 0.3316, 0.0000)
Lu (0.8342, 0.1658, 0.5000)
Lu (0.1658, 0.8342, 0.0000)
Lu (0.8342, 0.6684, 0.5000)
Tm (0.3333, 0.6667, 0.5000)
Er (0.6667, 0.3333, 0.0000)


The following is a GGA-PBE calculation of a geometry-optimized Er2TmLu5 structure, from OQMD.

Formation energy from the elements = 0.00 eV/atom

Cell lengths 5.4748, 7.0468, 7.0468 Å; angles 59.99, 90.00, 90.00 degrees
Fractional coordinates of all 8 atoms:
Lu (0.5000, 0.3321, 0.8338)
Lu (0.0000, 0.1663, 0.6677)
Lu (0.5000, 0.8338, 0.3321)
Lu (0.5000, 0.8339, 0.8339)
Lu (0.0000, 0.6677, 0.1663)
Er (0.0000, 0.6665, 0.6665)
Er (0.5000, 0.3334, 0.3334)
Tm (0.0000, 0.1661, 0.1661)


The following is a GGA-PBE calculation of a geometry-optimized ErTmLu2 structure, from OQMD.

Formation energy from the elements = 0.00 eV/atom

Cell lengths 7.0541, 7.0541, 5.4861 Å; angles 90.00, 90.00, 120.01 degrees
Fractional coordinates of all 8 atoms:
Lu (0.6666, 0.8326, 0.2500)
Lu (0.3334, 0.1674, 0.7500)
Lu (0.8326, 0.6666, 0.7500)
Lu (0.1674, 0.3334, 0.2500)
Er (0.8335, 0.1665, 0.7500)
Er (0.1665, 0.8335, 0.2500)
Tm (0.3338, 0.6662, 0.7500)
Tm (0.6662, 0.3338, 0.2500)


The following is a GGA-PBE calculation of a geometry-optimized ErTmLu2 structure, from OQMD.

Formation energy from the elements = 0.00 eV/atom

Cell lengths 5.4863, 7.0544, 7.0544 Å; angles 120.00, 90.00, 90.00 degrees
Fractional coordinates of all 8 atoms:
Er (0.7500, 0.6666, 0.3331)
Er (0.2500, 0.3331, 0.6666)
Lu (0.2500, 0.8340, 0.6675)
Lu (0.7500, 0.1664, 0.8338)
Lu (0.2500, 0.8338, 0.1664)
Lu (0.7500, 0.6675, 0.8340)
Tm (0.7500, 0.1661, 0.3324)
Tm (0.2500, 0.3324, 0.1661)


The following is a GGA-PBE calculation of a geometry-optimized Er2Tm3Lu3 structure, from OQMD.

Formation energy from the elements = 0.00 eV/atom

Cell lengths 5.4935, 7.0658, 7.0658 Å; angles 60.00, 90.00, 90.00 degrees
Fractional coordinates of all 8 atoms:
Er (0.5000, 0.6666, 0.6666)
Er (0.0000, 0.3333, 0.3333)
Lu (0.0000, 0.8337, 0.8337)
Lu (0.5000, 0.1664, 0.6674)
Lu (0.5000, 0.6674, 0.1664)
Tm (0.0000, 0.3326, 0.8338)
Tm (0.5000, 0.1662, 0.1662)
Tm (0.0000, 0.8338, 0.3326)


The following is a GGA-PBE calculation of a geometry-optimized YErLu6 structure, from OQMD.

Formation energy from the elements = 0.00 eV/atom

Cell lengths 7.0780, 7.0780, 5.5231 Å; angles 90.00, 90.00, 120.00 degrees
Fractional coordinates of all 8 atoms:
Lu (0.5009, 0.4991, 0.5000)
Lu (0.5009, 0.0018, 0.5000)
Lu (0.3354, 0.1677, 0.0000)
Lu (0.8323, 0.6646, 0.0000)
Lu (0.9982, 0.4991, 0.5000)
Lu (0.8323, 0.1677, 0.0000)
Y (0.0000, 0.0000, 0.5000)
Er (0.3333, 0.6667, 0.0000)


The following is a GGA-PBE calculation of a geometry-optimized ErLuZn structure, from OQMD.

Formation energy from the elements = 0.01 eV/atom
Energy above the most stable polymorph in this dataset = 0.0 kJ per mole of atoms

Cell lengths 4.8985, 4.8985, 4.8985 Å; angles 60.00, 60.00, 60.00 degrees
Fractional coordinates of all 3 atoms:
Zn (0.0000, 0.0000, 0.0000)
Lu (0.7500, 0.7500, 0.7500)
Er (0.2500, 0.2500, 0.2500)


The following is a GGA-PBE calculation of a geometry-optimized ErLuZr structure, from OQMD.

Formation energy from the elements = 0.94 eV/atom

Cell lengths 5.1305, 5.1305, 5.1305 Å; angles 60.00, 60.00, 60.00 degrees
Fractional coordinates of all 3 atoms:
Er (0.0000, 0.0000, 0.0000)
Lu (0.2500, 0.2500, 0.2500)
Zr (0.7500, 0.7500, 0.7500)


The following is a GGA-PBE calculation of a geometry-optimized ErMg2 structure, from OQMD.

Uncorrected energy = -7.7 eV/f.u.

Cell lengths 17.0843, 3.3139, 5.4243 Å; angles 90.00, 90.00, 90.00 degrees
Fractional coordinates of all 12 atoms:
Mg (0.6637, 0.0000, 0.0000)
Mg (0.2807, 0.5000, 0.5000)
Mg (0.5016, 0.5000, 0.0000)
Mg (0.9429, 0.5000, 0.5000)
Mg (0.4429, 0.0000, 0.5000)
Mg (0.0016, 0.0000, 0.0000)
Mg (0.1637, 0.5000, 0.0000)
Mg (0.7808, 0.0000, 0.5000)
Er (0.6145, 0.5000, 0.5000)
Er (0.8300, 0.5000, 0.0000)
Er (0.1145, 0.0000, 0.5000)
Er (0.3299, 0.0000, 0.0000)


The following is a GGA-PBE calculation of a geometry-optimized ErMg2 structure, from OQMD.

Uncorrected energy = -7.7 eV/f.u.

Cell lengths 16.4924, 3.5180, 5.3062 Å; angles 90.00, 90.00, 90.00 degrees
Fractional coordinates of all 12 atoms:
Mg (0.9572, 0.5000, 0.5000)
Mg (0.4872, 0.5000, 0.0000)
Mg (0.8314, 0.5000, 0.0000)
Mg (0.6131, 0.5000, 0.5000)
Mg (0.9872, 0.0000, 0.0000)
Mg (0.4572, 0.0000, 0.5000)
Mg (0.3314, 0.0000, 0.0000)
Mg (0.1131, 0.0000, 0.5000)
Er (0.7870, 0.0000, 0.5000)
Er (0.1574, 0.5000, 0.0000)
Er (0.6574, 0.0000, 0.0000)
Er (0.2870, 0.5000, 0.5000)


no.,magnetization (μB per atom)
1,0.004
2,0.010
3,0.003
4,0.008
5,0.010
6,0.004
7,0.008
8,0.001
9,0.000
10,0.001
11,0.004
12,0.002